! SrBe3Pb (GGA-PBE, relaxed); values from VASP
&SYSTEM
  ibrav = 0, nat = 5, ntyp = 3
/
ATOMIC_SPECIES
Be 9.01 Be.upf
Pb 207.20 Pb.upf
Sr 87.62 Sr.upf
CELL_PARAMETERS angstrom
-3.621 2.004 -2.602
0.166 -3.757 -3.123
-3.280 -2.401 2.715
ATOMIC_POSITIONS crystal
Be 0.000 0.500 0.000
Be 0.000 0.000 0.500
Be 0.500 0.000 0.000
Pb 0.000 0.000 0.000
Sr 0.500 0.500 0.500
! Relative energy among the computed polymorphs = 0 meV/atom
! Space group = Pm-3m
! Density of states at the Fermi level = 3.72 states/eV per cell
! Formation energy from the elements = 974 meV per atom
! Theoretical density = 4.576 g/cm3
! E = -2.340 eV per atom
! M_tot = 0.00 μB/cell